Record 1
Entry from Alexandria: crystalline YSiSb2I at its relaxed geometry (GGA-PBE).

Values from the calculation:
Energy relative to the lowest polymorph listed for this composition ... 9.84 kcal/mol of atoms
Space group ... P4/mmm (123)
Formation energy from raw total energies ... 0.576 eV per atom

POSCAR file:
```
YSiSb2I
1.0
5.889 0.000 0.000
0.000 5.889 0.000
0.000 0.000 5.757
Y Si Sb I
1 1 2 1
Cartesian
0.000 0.000 0.000 Y
2.944 2.944 2.879 Si
0.000 2.944 0.000 Sb
2.944 0.000 0.000 Sb
0.000 0.000 2.879 I
```

Record 2
Entry from Alexandria: crystalline SrAl6Rh3 at its relaxed geometry (GGA-PBE).

Values from the calculation:
Space group ... P2_1/c (14)

POSCAR file:
```
SrAl6Rh3
1.0
6.942 0.000 0.000
0.000 6.707 0.000
-4.084 0.000 7.432
Sr Al Rh
2 12 6
Cartesian
0.000 0.000 0.000 Sr
-2.042 3.354 3.716 Sr
-1.851 0.219 5.086 Al
0.191 3.134 1.371 Al
-1.542 4.595 6.572 Al
0.501 5.466 2.857 Al
2.095 1.244 1.938 Al
0.052 2.110 5.653 Al
2.805 4.597 1.778 Al
0.763 5.463 5.494 Al
2.357 1.241 4.575 Al
4.399 2.113 0.859 Al
2.667 3.573 6.061 Al
4.709 6.488 2.345 Al
-0.129 1.020 3.248 Rh
-2.171 2.334 6.964 Rh
3.471 0.000 0.000 Rh
1.429 3.354 3.716 Rh
5.029 4.373 0.468 Rh
2.987 5.688 4.183 Rh
```

Record 3
Entry from Alexandria: crystalline AgPt2PbN at its relaxed geometry (GGA-PBE).

Values from the calculation:
Space group ... P4/mmm (123)
Formation energy from raw total energies ... 0.468 eV per atom

POSCAR file:
```
AgPt2PbN
1.0
4.311 0.000 0.000
0.000 4.311 0.000
0.000 0.000 4.610
Ag Pt Pb N
1 2 1 1
Cartesian
0.000 0.000 0.000 Ag
0.000 2.156 2.305 Pt
2.156 0.000 2.305 Pt
2.156 2.156 0.000 Pb
0.000 0.000 2.305 N
```

| no. | energy (eV/atom) | V (Å³ per cell) |
| --- | --- | --- |
| 1 | -3.76 | 199.64 |
| 2 | -5.22 | 346.04 |
| 3 | -4.92 | 85.68 |